No. 1
Density functional theory data (PBE) for a relaxed KMgF3 crystal.

Unit cell a=12.6595 b=7.7173 c=7.7173 alpha=94.49 beta=131.72 gamma=48.28
Fractional positions:
F (0.0771, 0.9429, 0.9154)
F (0.5771, 0.5846, 0.5571)
F (0.1468, 0.6117, 0.6609)
F (0.4446, 0.6644, 0.7358)
F (0.0554, 0.2358, 0.1644)
F (0.3532, 0.1609, 0.1117)
F (0.8532, 0.3883, 0.3391)
F (0.9229, 0.0571, 0.0846)
F (0.9446, 0.7642, 0.8356)
F (0.5554, 0.3356, 0.2642)
F (0.4229, 0.4154, 0.4429)
F (0.6468, 0.8391, 0.8883)
K (0.3100, 0.8819, 0.9090)
K (0.1900, 0.4090, 0.3819)
K (0.8100, 0.5910, 0.6181)
K (0.6900, 0.1181, 0.0910)
Mg (0.7500, 0.1757, 0.6757)
Mg (0.2500, 0.5059, 0.0059)
Mg (0.2500, 0.8243, 0.3243)
Mg (0.7500, 0.4941, 0.9941)

Calculated values
The calculation puts the mass density at 2.52 g cm⁻³. As for the crystal system: monoclinic. The uncorrected formation energy comes out at -3200 meV per atom. The density of states at the Fermi level comes out at 0.00 states/eV/atom.


No. 2
Density functional theory data (PBE) for a relaxed KMgF2 crystal.

Unit cell a=5.8460 b=5.8460 c=6.4851 alpha=63.21 beta=63.21 gamma=90.00
Fractional positions:
F (0.8750, 0.7260, 0.7500)
F (0.4760, 0.1250, 0.2500)
F (0.3750, 0.5240, 0.7500)
F (0.2740, 0.6250, 0.2500)
Mg (0.2500, 0.7500, 0.5000)
Mg (0.5000, 0.5000, 0.0000)
K (0.0000, 0.0000, 0.0000)
K (0.7500, 0.2500, 0.5000)

Calculated values
For the polymorph energy (0 for the lowest one), the calculation gives 0.0288 eV/atom. The calculation puts the mass density at 1.97 g cm⁻³. As for the crystal system: tetragonal. The uncorrected formation energy comes out at -2418 meV per atom. The density of states at the Fermi level comes out at 0.15 states/eV/atom.


No. 3
Density functional theory data (PBE) for a relaxed K2MgF crystal.

Unit cell a=5.8604 b=5.8604 c=5.8604 alpha=60.00 beta=60.00 gamma=60.00
Fractional positions:
F (0.0000, 0.0000, 0.0000)
K (0.7500, 0.7500, 0.7500)
K (0.2500, 0.2500, 0.2500)
Mg (0.5000, 0.5000, 0.5000)

Calculated values
For the polymorph energy (0 for the lowest one), the calculation gives 0.4469 eV/atom. The calculation puts the mass density at 1.42 g cm⁻³. As for the crystal system: cubic. The uncorrected formation energy comes out at -653 meV per atom. The density of states at the Fermi level comes out at 0.57 states/eV/atom.


No. 4
Density functional theory data (PBE) for a relaxed K3MgF5 crystal.

Unit cell a=7.2598 b=7.2598 c=7.9640 alpha=117.12 beta=117.12 gamma=90.00
Site moments in Bohr magnetons follow the coordinates.
Fractional positions:
F (0.0116, 0.5116, 0.3088)  0.00
F (0.2973, 0.7973, 0.3088)  0.00
F (0.4884, 0.7027, 0.6912)  0.00
F (0.7027, 0.2027, 0.6912)  0.00
F (0.7973, 0.0116, 0.3088)  0.00
F (0.0000, 0.0000, 0.0000)  0.09
F (0.5116, 0.2973, 0.3088)  0.00
F (0.9884, 0.4884, 0.6912)  0.00
F (0.5000, 0.5000, 0.0000)  0.09
F (0.2027, 0.9884, 0.6912)  0.00
Mg (0.2500, 0.7500, 0.5000)  0.00
Mg (0.7500, 0.2500, 0.5000)  0.00
K (0.3201, 0.8201, 0.0000)  0.00
K (0.7500, 0.7500, 0.5000)  0.00
K (0.6799, 0.1799, 0.0000)  0.00
K (0.1799, 0.3201, 0.0000)  0.00
K (0.8201, 0.6799, 0.0000)  0.00
K (0.2500, 0.2500, 0.5000)  0.00

Calculated values
The calculation puts the mass density at 2.45 g cm⁻³. As for the crystal system: tetragonal. The uncorrected formation energy comes out at -2965 meV per atom. The density of states at the Fermi level comes out at 0.00 states/eV/atom.


No. 5
Density functional theory data (PBE) for a relaxed KMgF3 crystal.

Unit cell a=22.3146 b=5.3792 c=8.4926 alpha=90.00 beta=163.70 gamma=90.00
Fractional positions:
K (0.0095, 0.7700, 0.6454)
K (0.9905, 0.2300, 0.3546)
K (0.5095, 0.7300, 0.1454)
K (0.4905, 0.2700, 0.8546)
F (0.1954, 0.4324, 0.5319)
F (0.8683, 0.0815, 0.7709)
F (0.8046, 0.5676, 0.4681)
F (0.3683, 0.4185, 0.2709)
F (0.4180, 0.8153, 0.5990)
F (0.3046, 0.9324, 0.9681)
F (0.6954, 0.0676, 0.0319)
F (0.0820, 0.3153, 0.9010)
F (0.1317, 0.9185, 0.2291)
F (0.6317, 0.5815, 0.7291)
F (0.9180, 0.6847, 0.0990)
F (0.5820, 0.1847, 0.4010)
Mg (0.0350, 0.7593, 0.1856)
Mg (0.4650, 0.2593, 0.3144)
Mg (0.9650, 0.2407, 0.8144)
Mg (0.5350, 0.7407, 0.6856)

Calculated values
The calculation puts the mass density at 2.79 g cm⁻³. As for the crystal system: monoclinic. The uncorrected formation energy comes out at -3205 meV per atom. The density of states at the Fermi level comes out at 0.00 states/eV/atom.


No. 6
Density functional theory data (PBE) for a relaxed K4MgF5 crystal.

Unit cell a=4.0396 b=7.4364 c=7.4364 alpha=85.77 beta=74.24 gamma=74.24
Fractional positions:
K (0.4157, 0.3458, 0.8249)
K (0.5864, 0.6542, 0.1751)
K (0.7615, 0.8249, 0.6542)
K (0.2406, 0.1751, 0.3458)
F (0.9002, 0.9255, 0.2761)
F (0.1018, 0.0745, 0.7239)
F (0.8257, 0.2761, 0.0745)
F (0.5010, 0.0000, 0.0000)
F (0.1764, 0.7239, 0.9255)
Mg (0.0010, 0.0000, 0.0000)

Calculated values
The calculation puts the mass density at 2.21 g cm⁻³. As for the crystal system: tetragonal. The uncorrected formation energy comes out at -2700 meV per atom. The density of states at the Fermi level comes out at 0.11 states/eV/atom.


No. 7
Density functional theory data (PBE) for a relaxed K3Mg5F12 crystal.

Unit cell a=11.6758 b=11.6758 c=11.6758 alpha=109.47 beta=109.47 gamma=109.47
Fractional positions:
K (0.3750, 0.6250, 0.2500)
K (0.3750, 0.7500, 0.6250)
K (0.7500, 0.3750, 0.1250)
K (0.6250, 0.2500, 0.3750)
K (0.6250, 0.3750, 0.7500)
K (0.2500, 0.6250, 0.8750)
K (0.1250, 0.8750, 0.7500)
K (0.8750, 0.7500, 0.1250)
K (0.7500, 0.8750, 0.6250)
K (0.2500, 0.1250, 0.3750)
K (0.8750, 0.1250, 0.2500)
K (0.1250, 0.2500, 0.8750)
Mg (0.8750, 0.2500, 0.6250)
Mg (0.6250, 0.8750, 0.2500)
Mg (0.5000, 0.0000, 0.0000)
Mg (0.2500, 0.3750, 0.6250)
Mg (0.1250, 0.3750, 0.2500)
Mg (0.5000, 0.5000, 0.5000)
Mg (0.6250, 0.7500, 0.8750)
Mg (0.5000, 0.5000, 0.0000)
Mg (0.5000, 0.0000, 0.5000)
Mg (0.0000, 0.0000, 0.5000)
Mg (0.1250, 0.7500, 0.3750)
Mg (0.7500, 0.1250, 0.8750)
Mg (0.3750, 0.2500, 0.1250)
Mg (0.0000, 0.5000, 0.0000)
Mg (0.2500, 0.8750, 0.1250)
Mg (0.0000, 0.5000, 0.5000)
Mg (0.7500, 0.6250, 0.3750)
Mg (0.0000, 0.0000, 0.0000)
Mg (0.8750, 0.6250, 0.7500)
Mg (0.3750, 0.1250, 0.7500)
F (0.3956, 0.0034, 0.3203)
F (0.8956, 0.0753, 0.8922)
F (0.6832, 0.5753, 0.1797)
F (0.5753, 0.6832, 0.6797)
F (0.8956, 0.8203, 0.5034)
F (0.3956, 0.3922, 0.5753)
F (0.8922, 0.5753, 0.8956)
F (0.9966, 0.3922, 0.3168)
F (0.3922, 0.9966, 0.8168)
F (0.8203, 0.9247, 0.3168)
F (0.8922, 0.3168, 0.4966)
F (0.1832, 0.6797, 0.0753)
F (0.3168, 0.8922, 0.9966)
F (0.4966, 0.6797, 0.1044)
F (0.0753, 0.8956, 0.3922)
F (0.6078, 0.0034, 0.1832)
F (0.4247, 0.1078, 0.6044)
F (0.8203, 0.8956, 0.0034)
F (0.1078, 0.4247, 0.1044)
F (0.5034, 0.3203, 0.8956)
F (0.3922, 0.3956, 0.0753)
F (0.6078, 0.6044, 0.9247)
F (0.1797, 0.0753, 0.6832)
F (0.3168, 0.4247, 0.8203)
F (0.4966, 0.8168, 0.8922)
F (0.0753, 0.1797, 0.1832)
F (0.6797, 0.1832, 0.5753)
F (0.1044, 0.1797, 0.4966)
F (0.6832, 0.1078, 0.0034)
F (0.0034, 0.3956, 0.8203)
F (0.1797, 0.1044, 0.9966)
F (0.6044, 0.6078, 0.4247)
F (0.4247, 0.3168, 0.3203)
F (0.1044, 0.9247, 0.1078)
F (0.5753, 0.8922, 0.3956)
F (0.5034, 0.1832, 0.1078)
F (0.9247, 0.8203, 0.8168)
F (0.3203, 0.5034, 0.3956)
F (0.6044, 0.9966, 0.6797)
F (0.6797, 0.4966, 0.6044)
F (0.0034, 0.6078, 0.6832)
F (0.8168, 0.3203, 0.9247)
F (0.1078, 0.6832, 0.5034)
F (0.9966, 0.6044, 0.1797)
F (0.8168, 0.4966, 0.3922)
F (0.3203, 0.8168, 0.4247)
F (0.1832, 0.5034, 0.6078)
F (0.9247, 0.1044, 0.6078)

Calculated values
The calculation puts the mass density at 2.53 g cm⁻³. As for the crystal system: cubic. The uncorrected formation energy comes out at -3146 meV per atom. The density of states at the Fermi level comes out at 0.06 states/eV/atom.


No. 8
Density functional theory data (PBE) for a relaxed KMgF3 crystal.

Unit cell a=17.3284 b=7.1631 c=7.1631 alpha=154.68 beta=151.80 gamma=28.20
Fractional positions:
Mg (0.6415, 0.0100, 0.9900)
Mg (0.3585, 0.9900, 0.0100)
F (0.5489, 0.2628, 0.7372)
F (0.8736, 0.8121, 0.1879)
F (0.4511, 0.7372, 0.2628)
F (0.1264, 0.1879, 0.8121)
F (0.2785, 0.6652, 0.3348)
F (0.7215, 0.3348, 0.6652)
K (0.1360, 0.9918, 0.0082)
K (0.8640, 0.0082, 0.9918)

Calculated values
The calculation puts the mass density at 2.45 g cm⁻³. As for the crystal system: monoclinic. The uncorrected formation energy comes out at -3093 meV per atom. The density of states at the Fermi level comes out at 0.00 states/eV/atom.